[1]
# Si2Mo GGA-PBEsol optimized geometry
# Total DFT energy (no corrections) ... -7.634 eV/atom
# Formation energy without anion corrections ... 0.4 eV/f.u.
data_Si2Mo
_chemical_formula_sum 'Si2 Mo1'
_cell_length_a 4.283
_cell_length_b 4.283
_cell_length_c 2.718
_cell_angle_alpha 90.00
_cell_angle_beta 90.00
_cell_angle_gamma 90.00
_symmetry_space_group_name_H-M 'P 4/m m m'
_symmetry_Int_Tables_number 123
_symmetry_space_group_name_Hall '-P 4 2'
loop_
_atom_site_label
_atom_site_fract_x
_atom_site_fract_y
_atom_site_fract_z
Si1 0.000 0.500 0.000
Mo1 0.000 0.000 0.500

***

[2]
# Si2Mo GGA-PBEsol optimized geometry
# Total DFT energy (no corrections) ... -8.357 eV/atom
# Formation energy without anion corrections ... -1.8 eV/f.u.
data_Si2Mo
_chemical_formula_sum 'Si4 Mo2'
_cell_length_a 3.190
_cell_length_b 3.190
_cell_length_c 7.817
_cell_angle_alpha 90.00
_cell_angle_beta 90.00
_cell_angle_gamma 90.00
_symmetry_space_group_name_H-M 'I 4/m m m'
_symmetry_Int_Tables_number 139
_symmetry_space_group_name_Hall '-I 4 2'
loop_
_atom_site_label
_atom_site_fract_x
_atom_site_fract_y
_atom_site_fract_z
Si1 0.000 0.000 0.165
Mo1 0.000 0.000 0.500

***

[3]
# SiMo GGA-PBEsol optimized geometry
# Total DFT energy (no corrections) ... -8.660 eV/atom
# Formation energy without anion corrections ... 0.2 eV/f.u.
data_SiMo
_chemical_formula_sum 'Si4 Mo4'
_cell_length_a 4.2616
_cell_length_b 4.2616
_cell_length_c 7.5076
_cell_angle_alpha 90.00
_cell_angle_beta 90.00
_cell_angle_gamma 120.00
_symmetry_space_group_name_H-M 'P 63/m m c'
_symmetry_Int_Tables_number 194
_symmetry_space_group_name_Hall '-P 6c 2c'
loop_
_atom_site_label
_atom_site_fract_x
_atom_site_fract_y
_atom_site_fract_z
Si1 0.0000 0.0000 0.2500
Si2 0.3333 0.6667 0.2500
Mo1 0.3333 0.6667 0.5802

***

[4]
# Si2Mo GGA-PBEsol optimized geometry
# Total DFT energy (no corrections) ... -7.698 eV/atom
# Formation energy without anion corrections ... 0.2 eV/f.u.
data_Si2Mo
_chemical_formula_sum 'Si4 Mo2'
_cell_length_a 2.643
_cell_length_b 4.550
_cell_length_c 7.148
_cell_angle_alpha 90.00
_cell_angle_beta 90.00
_cell_angle_gamma 90.00
_symmetry_space_group_name_H-M 'I m m m'
_symmetry_Int_Tables_number 71
_symmetry_space_group_name_Hall '-I 2 2'
loop_
_atom_site_label
_atom_site_fract_x
_atom_site_fract_y
_atom_site_fract_z
Si1 0.000 0.000 0.184
Mo1 0.000 0.500 0.000

***

[5]
# Si3Mo GGA-PBEsol optimized geometry
# Total DFT energy (no corrections) ... -7.181 eV/atom
# Relative energy among the computed polymorphs ... 150 meV/atom
# Formation energy without anion corrections ... 0.3 eV/f.u.
data_Si3Mo
_chemical_formula_sum 'Si9 Mo3'
_cell_length_a 3.0017
_cell_length_b 3.0017
_cell_length_c 22.1482
_cell_angle_alpha 90.00
_cell_angle_beta 90.00
_cell_angle_gamma 120.00
_symmetry_space_group_name_H-M 'R -3 m'
_symmetry_Int_Tables_number 166
_symmetry_space_group_name_Hall '-R 3 2"'
loop_
_atom_site_label
_atom_site_fract_x
_atom_site_fract_y
_atom_site_fract_z
Si1 0.0000 0.0000 0.0000
Si2 0.0000 0.0000 0.2504
Mo1 0.0000 0.0000 0.5000

***

[6]
# Si3Mo5 GGA-PBEsol optimized geometry
# Total DFT energy (no corrections) ... -9.869 eV/atom
# Relative energy among the computed polymorphs ... 98 meV/atom
# Formation energy without anion corrections ... -2.9 eV/f.u.
data_Si3Mo5
_chemical_formula_sum 'Si6 Mo10'
_cell_length_a 7.2329
_cell_length_b 7.2329
_cell_length_c 5.0140
_cell_angle_alpha 90.00
_cell_angle_beta 90.00
_cell_angle_gamma 120.00
_symmetry_space_group_name_H-M 'P 63/m c m'
_symmetry_Int_Tables_number 193
_symmetry_space_group_name_Hall '-P 6c 2'
loop_
_atom_site_label
_atom_site_fract_x
_atom_site_fract_y
_atom_site_fract_z
Si1 0.0000 0.3948 0.2500
Mo1 0.0000 0.2398 0.7500
Mo2 0.3333 0.6667 0.0000

***

[7]
# Si3Mo GGA-PBEsol optimized geometry
# Total DFT energy (no corrections) ... -7.330 eV/atom
# Relative energy among the computed polymorphs ... 0 meV/atom
# Formation energy without anion corrections ... -0.3 eV/f.u.
data_Si3Mo
_chemical_formula_sum 'Si6 Mo2'
_cell_length_a 3.235
_cell_length_b 4.300
_cell_length_c 7.754
_cell_angle_alpha 90.00
_cell_angle_beta 90.00
_cell_angle_gamma 90.00
_symmetry_space_group_name_H-M 'I m m m'
_symmetry_Int_Tables_number 71
_symmetry_space_group_name_Hall '-I 2 2'
loop_
_atom_site_label
_atom_site_fract_x
_atom_site_fract_y
_atom_site_fract_z
Si1 0.000 0.000 0.000
Si2 0.000 0.500 0.265
Mo1 0.000 0.000 0.500

***

[8]
# SiMo3 GGA-PBEsol optimized geometry
# Total DFT energy (no corrections) ... -10.633 eV/atom
# Relative energy among the computed polymorphs ... 0 meV/atom
# Formation energy without anion corrections ... -1.5 eV/f.u.
data_SiMo3
_chemical_formula_sum 'Si2 Mo6'
_cell_length_a 4.859
_cell_length_b 4.859
_cell_length_c 4.859
_cell_angle_alpha 90.00
_cell_angle_beta 90.00
_cell_angle_gamma 90.00
_symmetry_space_group_name_H-M 'P m -3 n'
_symmetry_Int_Tables_number 223
_symmetry_space_group_name_Hall '-P 4n 2 3'
loop_
_atom_site_label
_atom_site_fract_x
_atom_site_fract_y
_atom_site_fract_z
Si1 0.000 0.000 0.000
Mo1 0.000 0.250 0.500

***

[9]
# Si2Mo GGA-PBEsol optimized geometry
# Total DFT energy (no corrections) ... -8.329 eV/atom
# Formation energy without anion corrections ... -1.7 eV/f.u.
data_Si2Mo
_chemical_formula_sum 'Si6 Mo3'
_cell_length_a 4.5726
_cell_length_b 4.5726
_cell_length_c 6.5651
_cell_angle_alpha 90.00
_cell_angle_beta 90.00
_cell_angle_gamma 120.00
_symmetry_space_group_name_H-M 'P 62 2 2'
_symmetry_Int_Tables_number 180
_symmetry_space_group_name_Hall 'P 62 2 (0 0 4)'
loop_
_atom_site_label
_atom_site_fract_x
_atom_site_fract_y
_atom_site_fract_z
Si1 0.1642 0.3283 0.0000
Mo1 0.0000 0.5000 0.6667

***

[10]
# Si3Mo GGA-PBEsol optimized geometry
# Total DFT energy (no corrections) ... -7.297 eV/atom
# Relative energy among the computed polymorphs ... 33 meV/atom
# Formation energy without anion corrections ... -0.2 eV/f.u.
data_Si3Mo
_chemical_formula_sum 'Si12 Mo4'
_cell_length_a 4.927
_cell_length_b 10.682
_cell_length_c 4.340
_cell_angle_alpha 90.00
_cell_angle_beta 90.00
_cell_angle_gamma 90.00
_symmetry_space_group_name_H-M 'C m c m'
_symmetry_Int_Tables_number 63
_symmetry_space_group_name_Hall '-C 2c 2'
loop_
_atom_site_label
_atom_site_fract_x
_atom_site_fract_y
_atom_site_fract_z
Si1 0.000 0.201 0.250
Si2 0.236 0.093 0.750
Mo1 0.000 0.391 0.750

***

[11]
# SiMo GGA-PBEsol optimized geometry
# Total DFT energy (no corrections) ... -8.691 eV/atom
# Formation energy without anion corrections ... 0.1 eV/f.u.
data_SiMo
_chemical_formula_sum 'Si4 Mo4'
_cell_length_a 3.221
_cell_length_b 4.303
_cell_length_c 8.330
_cell_angle_alpha 90.00
_cell_angle_beta 90.00
_cell_angle_gamma 90.00
_symmetry_space_group_name_H-M 'C m m e'
_symmetry_Int_Tables_number 67
_symmetry_space_group_name_Hall '-C 2a 2'
loop_
_atom_site_label
_atom_site_fract_x
_atom_site_fract_y
_atom_site_fract_z
Si1 0.000 0.250 0.128
Mo1 0.000 0.250 0.632

***

[12]
# SiMo GGA-PBEsol optimized geometry
# Total DFT energy (no corrections) ... -8.678 eV/atom
# Formation energy without anion corrections ... 0.2 eV/f.u.
data_SiMo
_chemical_formula_sum 'Si2 Mo2'
_cell_length_a 3.8108
_cell_length_b 3.8108
_cell_length_c 4.8510
_cell_angle_alpha 90.00
_cell_angle_beta 90.00
_cell_angle_gamma 120.00
_symmetry_space_group_name_H-M 'P 63/m m c'
_symmetry_Int_Tables_number 194
_symmetry_space_group_name_Hall '-P 6c 2c'
loop_
_atom_site_label
_atom_site_fract_x
_atom_site_fract_y
_atom_site_fract_z
Si1 0.0000 0.0000 0.0000
Mo1 0.3333 0.6667 0.2500

***

[13]
# SiMo GGA-PBEsol optimized geometry
# Total DFT energy (no corrections) ... -9.183 eV/atom
# Formation energy without anion corrections ... -0.9 eV/f.u.
data_SiMo
_chemical_formula_sum 'Si4 Mo4'
_cell_length_a 4.835
_cell_length_b 4.835
_cell_length_c 4.835
_cell_angle_alpha 90.00
_cell_angle_beta 90.00
_cell_angle_gamma 90.00
_symmetry_space_group_name_H-M 'P 21 3'
_symmetry_Int_Tables_number 198
_symmetry_space_group_name_Hall 'P 2ac 2ab 3'
loop_
_atom_site_label
_atom_site_fract_x
_atom_site_fract_y
_atom_site_fract_z
Si1 0.098 0.098 0.098
Mo1 0.112 0.612 0.888

***

[14]
# SiMo GGA-PBEsol optimized geometry
# Total DFT energy (no corrections) ... -9.177 eV/atom
# Formation energy without anion corrections ... -0.8 eV/f.u.
data_SiMo
_chemical_formula_sum 'Si4 Mo4'
_cell_length_a 5.686
_cell_length_b 4.135
_cell_length_c 4.705
_cell_angle_alpha 90.00
_cell_angle_beta 90.00
_cell_angle_gamma 90.00
_symmetry_space_group_name_H-M 'P n m a'
_symmetry_Int_Tables_number 62
_symmetry_space_group_name_Hall '-P 2ac 2n'
loop_
_atom_site_label
_atom_site_fract_x
_atom_site_fract_y
_atom_site_fract_z
Si1 0.049 0.250 0.159
Mo1 0.179 0.250 0.651